LaPd4O8: relaxed, PBE-GGA.

## Properties
E_tot   -5.87 eV/atom
Energy relative to the elements, uncorrected   -0.844 eV per atom

a = 6.3951 Å, b = 6.3951 Å, c = 16.9465 Å
α = 90.00°, β = 90.00°, γ = 120.00°
Space group R-3m (No. 166, hexagonal axes)
One atom of each set of equivalent atoms:
La 0.0000 0.0000 0.0000
Pd 0.0000 0.0000 0.5000
Pd 0.0000 0.5000 0.5000
O 0.0000 0.0000 0.2267
O 0.0263 0.5132 0.7714

La6Pd2O: relaxed, PBE-GGA.

## Properties
E_tot   -5.97 eV/atom
Energy relative to the elements, uncorrected   -0.980 eV per atom

a = 6.6968 Å, b = 7.3963 Å, c = 12.2894 Å
α = 90.00°, β = 122.45°, γ = 90.00°
Space group P2_1/c (No. 14)
One atom of each set of equivalent atoms:
La 0.1062 0.1913 0.4394
La 0.2644 0.6681 0.4400
La 0.3763 0.0308 0.2379
Pd 0.1726 0.1120 0.7427
O 0.0000 0.0000 0.0000

LaPdO: relaxed, PBE-GGA.

## Properties
E_tot   -7.06 eV/atom
Energy relative to the elements, uncorrected   -2.033 eV per atom

a = 16.3258 Å, b = 3.6503 Å, c = 3.6552 Å
α = 90.00°, β = 90.00°, γ = 90.00°
Space group Pnma (No. 62)
One atom of each set of equivalent atoms:
La 0.1603 0.2500 0.2479
Pd 0.0016 0.7500 0.2501
O 0.1943 0.7500 0.7471